1.
This record from Alexandria via LeMat-Bulk describes a relaxed structure of Ca2Zn5Hg5. The functional is PBE.

## Properties
Symmetry   Pmmm, No. 47
Electronic total energy   -1.14 eV per atom

abc: 4.923 5.369 10.061
angles: 90.00 90.00 90.00
Atoms (fractional coordinates):
Ca 0.000 0.000 0.000
Ca 0.000 0.500 0.500
Zn 0.500 0.000 0.500
Zn 0.500 0.257 0.271
Zn 0.500 0.257 0.729
Zn 0.500 0.743 0.271
Zn 0.500 0.743 0.729
Hg 0.000 0.000 0.332
Hg 0.000 0.000 0.668
Hg 0.000 0.500 0.179
Hg 0.000 0.500 0.821
Hg 0.500 0.500 0.000


2.
This record from Alexandria via LeMat-Bulk describes a relaxed structure of Cd2Ag8Sn. The functional is PBE.

## Properties
Symmetry   P-1, No. 2
Electronic total energy   -2.59 eV per atom
Distance to the lowest polymorph of the same formula   0.0 kJ/mol of atoms

abc: 3.537 7.168 8.882
angles: 106.64 101.39 90.01
Atoms (fractional coordinates):
Cd 0.152 0.190 0.304
Cd 0.848 0.810 0.696
Ag 0.053 0.723 0.106
Ag 0.215 0.617 0.430
Ag 0.315 0.099 0.629
Ag 0.417 0.564 0.834
Ag 0.583 0.436 0.166
Ag 0.685 0.901 0.371
Ag 0.785 0.383 0.570
Ag 0.947 0.277 0.894
Sn 0.500 0.000 0.000


3.
This record from Alexandria via LeMat-Bulk describes a relaxed structure of La3Ir. The functional is PBE.

## Properties
Symmetry   Cmmm, No. 65
Electronic total energy   -6.21 eV per atom

abc: 3.675 3.675 9.159
angles: 90.00 90.00 90.12
Atoms (fractional coordinates):
La 0.000 0.000 0.000
La 0.500 0.500 0.319
La 0.500 0.500 0.681
Ir 0.000 0.000 0.500


4.
This record from Alexandria via LeMat-Bulk describes a relaxed structure of Zn3CdAs. The functional is PBE.

## Properties
Symmetry   Pm-3m, No. 221
Electronic total energy   -1.54 eV per atom
Distance to the lowest polymorph of the same formula   0.0 kJ/mol of atoms

abc: 4.974 4.974 4.974
angles: 90.00 90.00 90.00
Atoms (fractional coordinates):
Zn 0.000 0.000 0.500
Zn 0.000 0.500 0.000
Zn 0.500 0.000 0.000
Cd 0.500 0.500 0.500
As 0.000 0.000 0.000


5.
This record from Alexandria via LeMat-Bulk describes a relaxed structure of Cs4K2GeAs2. The functional is PBE.

## Properties
Symmetry   C2/m, No. 12
Electronic total energy   -2.28 eV per atom

abc: 10.825 10.825 5.363
angles: 91.29 91.29 79.59
Atoms (fractional coordinates):
Cs 0.045 0.701 0.502
Cs 0.299 0.955 0.498
Cs 0.701 0.045 0.502
Cs 0.955 0.299 0.498
K 0.351 0.351 0.019
K 0.649 0.649 0.981
Ge 0.000 0.000 0.000
As 0.141 0.141 0.999
As 0.859 0.859 0.001


6.
This record from Alexandria via LeMat-Bulk describes a relaxed structure of KNa12Hg7. The functional is PBE.

## Properties
Symmetry   R-3, No. 148
Electronic total energy   -1.10 eV per atom

abc: 9.408 9.408 9.408
angles: 110.09 110.09 110.09
Atoms (fractional coordinates):
K 0.000 0.000 0.000
Na 0.085 0.889 0.615
Na 0.111 0.385 0.915
Na 0.241 0.592 0.646
Na 0.354 0.759 0.408
Na 0.385 0.915 0.111
Na 0.408 0.354 0.759
Na 0.592 0.646 0.241
Na 0.615 0.085 0.889
Na 0.646 0.241 0.592
Na 0.759 0.408 0.354
Na 0.889 0.615 0.085
Na 0.915 0.111 0.385
Hg 0.022 0.386 0.226
Hg 0.226 0.022 0.386
Hg 0.386 0.226 0.022
Hg 0.500 0.500 0.500
Hg 0.614 0.774 0.978
Hg 0.774 0.978 0.614
Hg 0.978 0.614 0.774


7.
This record from Alexandria via LeMat-Bulk describes a relaxed structure of Sc6Al5Ag. The functional is PBE.

## Properties
Symmetry   Cmmm, No. 65
Electronic total energy   -5.38 eV per atom

abc: 7.576 7.576 6.828
angles: 90.00 90.00 143.14
Atoms (fractional coordinates):
Sc 0.000 0.000 0.248
Sc 0.000 0.000 0.752
Sc 0.333 0.667 0.250
Sc 0.333 0.667 0.750
Sc 0.667 0.333 0.250
Sc 0.667 0.333 0.750
Al 0.165 0.835 0.500
Al 0.167 0.833 0.000
Al 0.500 0.500 0.000
Al 0.833 0.167 0.000
Al 0.835 0.165 0.500
Ag 0.500 0.500 0.500


8.
This record from Alexandria via LeMat-Bulk describes a relaxed structure of Mg2TlInBi. The functional is PBE.

## Properties
Symmetry   P4/mmm, No. 123
Electronic total energy   -2.02 eV per atom

abc: 5.518 5.518 6.294
angles: 90.00 90.00 90.00
Atoms (fractional coordinates):
Mg 0.000 0.500 0.000
Mg 0.500 0.000 0.000
Tl 0.000 0.000 0.500
In 0.500 0.500 0.500
Bi 0.000 0.000 0.000


Look up the electronic total energy of the first one.
-1.14 eV per atom


Number 7 is which compound?
Sc6Al5Ag


What is the electronic total energy in the seventh record?
-5.38 eV per atom


The lowest electronic total energy belongs to which entry?
La3Ir